# Li4Ga2NiIr (PBE, optimized geometry)
# Total energy, eV for the cell shown: -31.016
data_Li4Ga2NiIr
_cell_length_a 4.1838
_cell_length_b 4.1838
_cell_length_c 5.9266
_cell_angle_alpha 90.00
_cell_angle_beta 90.00
_cell_angle_gamma 90.00
_symmetry_space_group_name_H-M 'P 1'
_symmetry_Int_Tables_number 1
loop_
_symmetry_equiv_pos_as_xyz
'x,y,z'
loop_
_atom_site_label
_atom_site_type_symbol
_atom_site_fract_x
_atom_site_fract_y
_atom_site_fract_z
_atom_site_occupancy
Ni1 Ni 0.5000 0.5000 0.5000 1
Li1 Li 0.0000 0.5000 0.2574 1
Li2 Li 0.5000 0.0000 0.7426 1
Li3 Li 0.5000 0.5000 0.0000 1
Li4 Li 0.0000 0.0000 0.5000 1
Ga1 Ga 0.0000 0.5000 0.7491 1
Ga2 Ga 0.5000 0.0000 0.2509 1
Ir1 Ir 0.0000 0.0000 0.0000 1

***

# Li2Zr2Ga2NiIr (PBE, optimized geometry)
# Total energy, eV for the cell shown: -45.963
data_Li2Zr2Ga2NiIr
_cell_length_a 4.4031
_cell_length_b 4.4031
_cell_length_c 6.2163
_cell_angle_alpha 90.00
_cell_angle_beta 90.00
_cell_angle_gamma 90.00
_symmetry_space_group_name_H-M 'P 1'
_symmetry_Int_Tables_number 1
loop_
_symmetry_equiv_pos_as_xyz
'x,y,z'
loop_
_atom_site_label
_atom_site_type_symbol
_atom_site_fract_x
_atom_site_fract_y
_atom_site_fract_z
_atom_site_occupancy
Zr1 Zr 0.5000 0.0000 0.7395 1
Zr2 Zr 0.0000 0.5000 0.2605 1
Li1 Li 0.0000 0.0000 0.5000 1
Li2 Li 0.5000 0.5000 0.0000 1
Ir1 Ir 0.0000 0.0000 0.0000 1
Ga1 Ga 0.0000 0.5000 0.7458 1
Ga2 Ga 0.5000 0.0000 0.2542 1
Ni1 Ni 0.5000 0.5000 0.5000 1

***

# Li4GaIrO6 (PBE, optimized geometry)
# Total energy, eV for the cell shown: -68.949
data_Li4GaIrO6
_cell_length_a 5.1027
_cell_length_b 5.1027
_cell_length_c 5.0774
_cell_angle_alpha 99.81
_cell_angle_beta 99.81
_cell_angle_gamma 119.91
_symmetry_space_group_name_H-M 'P 1'
_symmetry_Int_Tables_number 1
loop_
_symmetry_equiv_pos_as_xyz
'x,y,z'
loop_
_atom_site_label
_atom_site_type_symbol
_atom_site_fract_x
_atom_site_fract_y
_atom_site_fract_z
_atom_site_occupancy
O1 O 0.4190 0.0709 0.7683 1
O2 O 0.2300 0.2282 0.2351 1
O3 O 0.7718 0.7700 0.7649 1
O4 O 0.9291 0.5810 0.2317 1
O5 O 0.5761 0.9267 0.2326 1
O6 O 0.0733 0.4239 0.7674 1
Li1 Li 0.6602 0.3398 0.5000 1
Li2 Li 0.0005 0.9995 0.5000 1
Li3 Li 0.3395 0.6605 0.5000 1
Li4 Li 0.5000 0.5000 0.0000 1
Ir1 Ir 0.1671 0.8329 0.0000 1
Ga1 Ga 0.8332 0.1668 0.0000 1

***

# Li4GaIr2Pb (PBE, optimized geometry)
# Total energy, eV for the cell shown: -34.453
data_Li4GaIr2Pb
_cell_length_a 4.3031
_cell_length_b 4.3031
_cell_length_c 6.4262
_cell_angle_alpha 90.00
_cell_angle_beta 90.00
_cell_angle_gamma 90.00
_symmetry_space_group_name_H-M 'P 1'
_symmetry_Int_Tables_number 1
loop_
_symmetry_equiv_pos_as_xyz
'x,y,z'
loop_
_atom_site_label
_atom_site_type_symbol
_atom_site_fract_x
_atom_site_fract_y
_atom_site_fract_z
_atom_site_occupancy
Ir1 Ir 0.0000 0.5000 0.2249 1
Ir2 Ir 0.5000 0.0000 0.7751 1
Li1 Li 0.0000 0.5000 0.7783 1
Li2 Li 0.0000 0.0000 0.0000 1
Li3 Li 0.5000 0.5000 0.5000 1
Li4 Li 0.5000 0.0000 0.2217 1
Ga1 Ga 0.5000 0.5000 0.0000 1
Pb1 Pb 0.0000 0.0000 0.5000 1